Density functional theory data (PBE) for a relaxed Tb8Hg4PSe3 crystal.

- calculated total energy (hartree per atom) = -0.164
- total magnetic moment (μB per cell) = 0.0
- symmetry = C2/m, No. 12
- calculated volume (Å³ per atom) = 26.257
- density of states at the Fermi level (states/eV per cell) = 8.30
- E_form (uncorrected) (eV per atom) = -1.091
- crystal system = monoclinic

Unit cell a=7.9869 b=8.8964 c=7.9746 alpha=116.53 beta=120.05 gamma=90.00
Closest atoms and distances in Å follow each position.
Fractional positions:
Tb  0.2354  0.7211  0.9860  1 P 2.80, 2 Se 2.88, 2 Hg 3.11
Tb  0.2355  0.7208  0.4709  1 P 2.80, 2 Se 2.88, 2 Hg 3.11
Tb  0.2573  0.2725  0.5145  3 Se 2.88-2.89, 3 Hg 3.10
Tb  0.7506  0.7211  0.9860  1 P 2.80, 2 Se 2.88, 2 Hg 3.11
Tb  0.2494  0.2789  0.0140  1 P 2.80, 2 Se 2.88, 2 Hg 3.11
Tb  0.7427  0.7275  0.4855  3 Se 2.88-2.89, 3 Hg 3.10
Tb  0.7645  0.2792  0.5291  1 P 2.80, 2 Se 2.88, 2 Hg 3.11
Tb  0.7646  0.2789  0.0140  1 P 2.80, 2 Se 2.88, 2 Hg 3.11
Hg  0.5000  0.0000  0.0000  6 Tb 3.18-3.19
Hg  0.5000  0.0000  0.5000  6 Tb 3.10-3.11
Hg  0.0000  0.0000  0.0000  6 Tb 3.10-3.11
Hg  0.0000  0.0000  0.5000  6 Tb 3.10-3.11
P  0.0000  0.5000  0.0000  6 Tb 2.80
Se  0.5000  0.5000  0.0000  6 Tb 2.88-2.89
Se  0.5000  0.5000  0.5000  6 Tb 2.88
Se  0.0000  0.5000  0.5000  6 Tb 2.88